[1]
Density functional theory data (GGA-PBEsol) for a geometry-optimized Nb2AlC structure.

The structure in CIF format:
```
data_Nb2AlC
_chemical_formula_sum 'Nb4 Al2 C2'
_space_group_name_H-M_alt 'P 63/m m c'
_space_group_IT_number 194
_space_group_name_Hall '-P 6c 2c'
_cell_length_a 3.1051
_cell_length_b 3.1051
_cell_length_c 13.8522
_cell_angle_alpha 90.00
_cell_angle_beta 90.00
_cell_angle_gamma 120.00
loop_
_atom_site_label
_atom_site_type_symbol
_atom_site_fract_x
_atom_site_fract_y
_atom_site_fract_z
_atom_site_occupancy
Nb1 Nb 0.3333 0.6667 0.0892 1
Al1 Al 0.3333 0.6667 0.7500 1
C1 C 0.0000 0.0000 0.0000 1
```

Energy above the most stable polymorph in this dataset = 0.000 eV per atom
Formation enthalpy at 0 K = -0.548 eV/atom


[2]
Density functional theory data (GGA-PBEsol) for a geometry-optimized CuMo3I structure.

The structure in CIF format:
```
data_CuMo3I
_chemical_formula_sum 'Cu1 Mo3 I1'
_space_group_name_H-M_alt 'P m -3 m'
_space_group_IT_number 221
_space_group_name_Hall '-P 4 2 3'
_cell_length_a 4.783
_cell_length_b 4.783
_cell_length_c 4.783
_cell_angle_alpha 90.00
_cell_angle_beta 90.00
_cell_angle_gamma 90.00
loop_
_atom_site_label
_atom_site_type_symbol
_atom_site_fract_x
_atom_site_fract_y
_atom_site_fract_z
_atom_site_occupancy
Cu1 Cu 0.000 0.000 0.000 1
Mo1 Mo 0.000 0.500 0.500 1
I1 I 0.500 0.500 0.500 1
```

Uncorrected formation energy = 2.406 eV/atom


[3]
Density functional theory data (GGA-PBEsol) for a geometry-optimized LiCoAu2 structure.

The structure in CIF format:
```
data_LiCoAu2
_chemical_formula_sum 'Li1 Co1 Au2'
_space_group_name_H-M_alt 'P m m m'
_space_group_IT_number 47
_space_group_name_Hall '-P 2 2'
_cell_length_a 2.722
_cell_length_b 3.657
_cell_length_c 5.704
_cell_angle_alpha 90.00
_cell_angle_beta 90.00
_cell_angle_gamma 90.00
loop_
_atom_site_label
_atom_site_type_symbol
_atom_site_fract_x
_atom_site_fract_y
_atom_site_fract_z
_atom_site_occupancy
Li1 Li 0.000 0.000 0.000 1
Co1 Co 0.000 0.000 0.500 1
Au1 Au 0.500 0.500 0.253 1
```

Formation enthalpy at 0 K = -0.070 eV/atom


[4]
Density functional theory data (GGA-PBEsol) for a geometry-optimized CoSiNi structure.

The structure in CIF format:
```
data_CoSiNi
_chemical_formula_sum 'Co4 Si4 Ni4'
_space_group_name_H-M_alt 'F -4 3 m'
_space_group_IT_number 216
_space_group_name_Hall 'F -4 2 3'
_cell_length_a 5.278
_cell_length_b 5.278
_cell_length_c 5.278
_cell_angle_alpha 90.00
_cell_angle_beta 90.00
_cell_angle_gamma 90.00
loop_
_atom_site_label
_atom_site_type_symbol
_atom_site_fract_x
_atom_site_fract_y
_atom_site_fract_z
_atom_site_occupancy
Co1 Co 0.000 0.000 0.000 1
Si1 Si 0.250 0.250 0.750 1
Ni1 Ni 0.250 0.250 0.250 1
```

Uncorrected formation energy = -0.148 eV/atom


[5]
Density functional theory data (GGA-PBEsol) for a geometry-optimized IrRuPt2 structure.

The structure in CIF format:
```
data_IrRuPt2
_chemical_formula_sum 'Ir1 Ru1 Pt2'
_space_group_name_H-M_alt 'P m m 2'
_space_group_IT_number 25
_space_group_name_Hall 'P 2 -2'
_cell_length_a 2.721
_cell_length_b 3.841
_cell_length_c 5.471
_cell_angle_alpha 90.00
_cell_angle_beta 90.00
_cell_angle_gamma 90.00
loop_
_atom_site_label
_atom_site_type_symbol
_atom_site_fract_x
_atom_site_fract_y
_atom_site_fract_z
_atom_site_occupancy
Ir1 Ir 0.000 0.000 0.000 1
Ru1 Ru 0.500 0.500 0.771 1
Pt1 Pt 0.000 0.000 0.518 1
Pt2 Pt 0.500 0.500 0.259 1
```

Energy above the most stable polymorph in this dataset = 0.036 eV per atom
Formation enthalpy at 0 K = -0.004 eV/atom


[6]
Density functional theory data (GGA-PBEsol) for a geometry-optimized NbB2CO structure.

The structure in CIF format:
```
data_NbB2CO
_chemical_formula_sum 'Nb1 B2 C1 O1'
_space_group_name_H-M_alt 'P 4/m m m'
_space_group_IT_number 123
_space_group_name_Hall '-P 4 2'
_cell_length_a 3.089
_cell_length_b 3.089
_cell_length_c 4.966
_cell_angle_alpha 90.00
_cell_angle_beta 90.00
_cell_angle_gamma 90.00
loop_
_atom_site_label
_atom_site_type_symbol
_atom_site_fract_x
_atom_site_fract_y
_atom_site_fract_z
_atom_site_occupancy
Nb1 Nb 0.000 0.000 0.000 1
B1 B 0.000 0.500 0.500 1
C1 C 0.500 0.500 0.000 1
O1 O 0.500 0.500 0.500 1
```

Uncorrected formation energy = 1.041 eV/atom


[7]
Density functional theory data (GGA-PBEsol) for a geometry-optimized BeFeHg structure.

The structure in CIF format:
```
data_BeFeHg
_chemical_formula_sum 'Be1 Fe1 Hg1'
_space_group_name_H-M_alt 'P -6 m 2'
_space_group_IT_number 187
_space_group_name_Hall 'P -6 2'
_cell_length_a 4.0986
_cell_length_b 4.0986
_cell_length_c 2.7869
_cell_angle_alpha 90.00
_cell_angle_beta 90.00
_cell_angle_gamma 120.00
loop_
_atom_site_label
_atom_site_type_symbol
_atom_site_fract_x
_atom_site_fract_y
_atom_site_fract_z
_atom_site_occupancy
Be1 Be 0.0000 0.0000 0.0000 1
Fe1 Fe 0.3333 0.6667 0.5000 1
Hg1 Hg 0.6667 0.3333 0.0000 1
```

Formation enthalpy at 0 K = 0.412 eV/atom


[8]
Density functional theory data (GGA-PBEsol) for a geometry-optimized RbSn2Sb2 structure.

The structure in CIF format:
```
data_RbSn2Sb2
_chemical_formula_sum 'Rb2 Sn4 Sb4'
_space_group_name_H-M_alt 'I 4/m m m'
_space_group_IT_number 139
_space_group_name_Hall '-I 4 2'
_cell_length_a 5.299
_cell_length_b 5.299
_cell_length_c 12.674
_cell_angle_alpha 90.00
_cell_angle_beta 90.00
_cell_angle_gamma 90.00
loop_
_atom_site_label
_atom_site_type_symbol
_atom_site_fract_x
_atom_site_fract_y
_atom_site_fract_z
_atom_site_occupancy
Rb1 Rb 0.000 0.000 0.000 1
Sn1 Sn 0.000 0.500 0.250 1
Sb1 Sb 0.000 0.000 0.360 1
```

Uncorrected formation energy = -0.138 eV/atom


[9]
Density functional theory data (GGA-PBEsol) for a geometry-optimized Mg2TaTe structure.

The structure in CIF format:
```
data_Mg2TaTe
_chemical_formula_sum 'Mg2 Ta1 Te1'
_space_group_name_H-M_alt 'P m m m'
_space_group_IT_number 47
_space_group_name_Hall '-P 2 2'
_cell_length_a 3.595
_cell_length_b 3.846
_cell_length_c 5.809
_cell_angle_alpha 90.00
_cell_angle_beta 90.00
_cell_angle_gamma 90.00
loop_
_atom_site_label
_atom_site_type_symbol
_atom_site_fract_x
_atom_site_fract_y
_atom_site_fract_z
_atom_site_occupancy
Mg1 Mg 0.000 0.000 0.237 1
Ta1 Ta 0.500 0.500 0.000 1
Te1 Te 0.500 0.500 0.500 1
```

Uncorrected formation energy = 0.192 eV/atom


[10]
Density functional theory data (GGA-PBEsol) for a geometry-optimized TaCrCd2I structure.

The structure in CIF format:
```
data_TaCrCd2I
_chemical_formula_sum 'Ta1 Cr1 Cd2 I1'
_space_group_name_H-M_alt 'P 4/m m m'
_space_group_IT_number 123
_space_group_name_Hall '-P 4 2'
_cell_length_a 5.461
_cell_length_b 5.461
_cell_length_c 5.033
_cell_angle_alpha 90.00
_cell_angle_beta 90.00
_cell_angle_gamma 90.00
loop_
_atom_site_label
_atom_site_type_symbol
_atom_site_fract_x
_atom_site_fract_y
_atom_site_fract_z
_atom_site_occupancy
Ta1 Ta 0.000 0.000 0.000 1
Cr1 Cr 0.500 0.500 0.000 1
Cd1 Cd 0.000 0.500 0.500 1
I1 I 0.000 0.000 0.500 1
```

Uncorrected formation energy = 1.987 eV/atom


[11]
Density functional theory data (GGA-PBEsol) for a geometry-optimized Be2PtPb structure.

The structure in CIF format:
```
data_Be2PtPb
_chemical_formula_sum 'Be4 Pt2 Pb2'
_space_group_name_H-M_alt 'I 4/m m m'
_space_group_IT_number 139
_space_group_name_Hall '-I 4 2'
_cell_length_a 4.058
_cell_length_b 4.058
_cell_length_c 6.988
_cell_angle_alpha 90.00
_cell_angle_beta 90.00
_cell_angle_gamma 90.00
loop_
_atom_site_label
_atom_site_type_symbol
_atom_site_fract_x
_atom_site_fract_y
_atom_site_fract_z
_atom_site_occupancy
Be1 Be 0.000 0.500 0.250 1
Pt1 Pt 0.000 0.000 0.000 1
Pb1 Pb 0.000 0.000 0.500 1
```

Formation enthalpy at 0 K = 0.235 eV/atom


[12]
Density functional theory data (GGA-PBEsol) for a geometry-optimized YCrReRu2 structure.

The structure in CIF format:
```
data_YCrReRu2
_chemical_formula_sum 'Y1 Cr1 Re1 Ru2'
_space_group_name_H-M_alt 'P 4/m m m'
_space_group_IT_number 123
_space_group_name_Hall '-P 4 2'
_cell_length_a 4.413
_cell_length_b 4.413
_cell_length_c 4.485
_cell_angle_alpha 90.00
_cell_angle_beta 90.00
_cell_angle_gamma 90.00
loop_
_atom_site_label
_atom_site_type_symbol
_atom_site_fract_x
_atom_site_fract_y
_atom_site_fract_z
_atom_site_occupancy
Y1 Y 0.000 0.000 0.000 1
Cr1 Cr 0.500 0.500 0.500 1
Re1 Re 0.500 0.500 0.000 1
Ru1 Ru 0.000 0.500 0.500 1
```

Formation enthalpy at 0 K = 0.682 eV/atom


no.,final energy (eV/atom)
1,-9.39
2,-5.88
3,-4.46
4,-6.70
5,-8.49
6,-6.91
7,-4.10
8,-3.87
9,-4.69
10,-3.40
11,-4.51
12,-9.47